VASP calculation (GGA-PBE) on a relaxed Sr5In3 crystal.

Unit cell a=10.237 b=10.237 c=7.006 alpha=90.00 beta=90.00 gamma=120.00
Atoms (fractional coordinates):
In 0.607 0.000 0.250
In 0.393 0.000 0.750
In 0.000 0.607 0.250
In 0.393 0.393 0.250
In 0.607 0.607 0.750
In 0.000 0.393 0.750
Sr 0.333 0.667 0.000
Sr 0.667 0.333 0.500
Sr 0.667 0.333 0.000
Sr 0.333 0.667 0.500
Sr 0.268 0.000 0.250
Sr 0.732 0.000 0.750
Sr 0.000 0.268 0.250
Sr 0.732 0.732 0.250
Sr 0.268 0.268 0.750
Sr 0.000 0.732 0.750

Properties
Density of states at the Fermi level   0.864 states/eV per atom
Energy relative to the lowest polymorph listed for this composition   0.024 eV/atom
Total energy   -0.1763 Ry per atom
Energy of formation from the pure elements   -0.32 eV per atom

=====

VASP calculation (GGA-PBE) on a relaxed YAsOs crystal.

Unit cell a=6.004 b=6.004 c=3.183 alpha=74.63 beta=74.63 gamma=30.75
Atoms (fractional coordinates):
Y 0.327 0.327 0.673
As 0.030 0.030 0.970
Os 0.643 0.643 0.357

Properties
Density of states at the Fermi level   0.376 states/eV per atom
Total energy   -0.5688 Ry per atom
Energy of formation from the pure elements   -0.29 eV per atom

=====

Which value of density of states at the Fermi level does entry 2 give? 0.376 states/eV per atom